No. 1
The following is a DFT calculation (PBE) of a relaxed Tm7MgTl4 crystal.

Values from the calculation:
Energy relative to the elements: -16 meV/atom
E_tot: -3.546 eV per atom

Cell lengths 14.7862, 5.7200, 9.4242 Å; angles 90.00, 121.07, 90.00 degrees
Space group C2/m (No. 12)
Symmetry-distinct sites (fractional):
Tm1 0.0000 0.0000 0.0000 [2 per cell]
Tm2 0.0691 0.5000 0.4053 [4 per cell]
Tm3 0.2025 0.5000 0.8791 [4 per cell]
Tm4 0.2444 0.5000 0.2817 [4 per cell]
Mg1 0.0000 0.5000 0.0000 [2 per cell]
Tl1 0.0496 0.0000 0.7048 [4 per cell]
Tl2 0.1852 0.0000 0.3431 [4 per cell]


No. 2
The following is a DFT calculation (PBE) of a relaxed Pa2NiGe crystal.

Values from the calculation:
Energy relative to the elements: 206 meV/atom
Energy above the most stable polymorph in this dataset: 0.6285 eV per atom
E_tot: -7.141 eV per atom

Cell lengths 3.1147, 3.1147, 29.9043 Å; angles 90.00, 90.00, 120.00 degrees
Space group R-3m (No. 166, hexagonal axes)
Symmetry-distinct sites (fractional):
Pa1 0.0000 0.0000 0.0838 [6 per cell]
Ni1 0.0000 0.0000 0.0000 [3 per cell]
Ge1 0.0000 0.0000 0.5000 [3 per cell]